Ti2Sn2Pd | PBE-GGA | relaxed

Unit cell a=7.9027 b=7.9027 c=3.1646 alpha=90.00 beta=90.00 gamma=90.00
Atoms (fractional coordinates):
Sn: 0.3164 0.1836 0.5000
Sn: 0.8164 0.3164 0.5000
Sn: 0.1836 0.6836 0.5000
Sn: 0.6836 0.8164 0.5000
Ti: 0.1166 0.3834 0.0000
Ti: 0.6166 0.1166 0.0000
Ti: 0.8834 0.6166 0.0000
Ti: 0.3834 0.8834 0.0000
Pd: 0.0000 0.0000 0.0000
Pd: 0.5000 0.5000 0.0000

Computed properties:
energy relative to the lowest polymorph listed for this composition: 161 meV/atom
volume: 19.76 Å³ per atom
N(E_F): 6.4 states/eV/cell
energy of formation from the pure elements: -0.090 eV/atom
symmetry: P4/mbm (127)
E: -5.89 eV/atom